Rb2AgP2 after structural relaxation. Source: Alexandria via LeMat-Bulk, functional PBE.

## Properties
Energy relative to the lowest polymorph listed for this composition: 0.00 eV per formula unit
Energy: -0.118 Ha/atom
Space-group type: P4/mbm

Cell: 6.903 6.903 5.566 Å, 90.00 90.00 90.00°
Positions (direct):
P (0.388, 0.888, 0.000)
P (0.888, 0.612, 0.000)
P (0.612, 0.112, 0.000)
P (0.112, 0.388, 0.000)
Rb (0.178, 0.678, 0.500)
Rb (0.678, 0.822, 0.500)
Rb (0.822, 0.322, 0.500)
Rb (0.322, 0.178, 0.500)
Ag (0.000, 0.000, 0.000)
Ag (0.500, 0.500, 0.000)

RbAg3P after structural relaxation. Source: Alexandria via LeMat-Bulk, functional PBE.

## Properties
Energy relative to the lowest polymorph listed for this composition: 0.00 eV per formula unit
Energy: -0.106 Ha/atom
Space-group type: Pm-3m

Cell: 5.048 5.048 5.048 Å, 90.00 90.00 90.00°
Positions (direct):
P (0.000, 0.000, 0.000)
Rb (0.500, 0.500, 0.500)
Ag (0.000, 0.500, 0.000)
Ag (0.000, 0.000, 0.500)
Ag (0.500, 0.000, 0.000)

Rb5Ag3P3 after structural relaxation. Source: Alexandria via LeMat-Bulk, functional PBE.

## Properties
Energy: -0.105 Ha/atom
Space-group type: P-62m

Cell: 4.637 10.566 10.566 Å, 120.00 90.00 90.00°
Positions (direct):
Rb (0.500, 0.333, 0.667)
Rb (0.500, 0.667, 0.333)
Rb (0.500, 0.265, 0.265)
Rb (0.500, 0.000, 0.735)
Rb (0.500, 0.735, 0.000)
Ag (0.000, 0.666, 0.666)
Ag (0.000, 0.334, 0.000)
Ag (0.000, 0.000, 0.334)
P (0.500, 0.623, 0.623)
P (0.500, 0.000, 0.377)
P (0.500, 0.377, 0.000)

RbAg4P12 after structural relaxation. Source: Alexandria via LeMat-Bulk, functional PBE.

## Properties
Energy: -0.165 Ha/atom
Space-group type: Im-3

Cell: 7.557 7.557 7.557 Å, 109.47 109.47 109.47°
Positions (direct):
Rb (0.000, 0.000, 0.000)
Ag (0.000, 0.500, 0.000)
Ag (0.000, 0.000, 0.500)
Ag (0.500, 0.000, 0.000)
Ag (0.500, 0.500, 0.500)
P (0.753, 0.127, 0.626)
P (0.873, 0.374, 0.247)
P (0.374, 0.500, 0.127)
P (0.127, 0.374, 0.500)
P (0.626, 0.500, 0.873)
P (0.127, 0.626, 0.753)
P (0.626, 0.753, 0.127)
P (0.374, 0.247, 0.873)
P (0.873, 0.626, 0.500)
P (0.500, 0.127, 0.374)
P (0.500, 0.873, 0.626)
P (0.247, 0.873, 0.374)

RbAg3P after structural relaxation. Source: Alexandria via LeMat-Bulk, functional PBE.

## Properties
Energy relative to the lowest polymorph listed for this composition: 7.81 eV per formula unit
Energy: -0.049 Ha/atom
Space-group type: Pm-3m

Cell: 5.558 5.558 5.558 Å, 90.00 90.00 90.00°
Positions (direct):
P (0.500, 0.500, 0.500)
Rb (0.000, 0.000, 0.000)
Ag (0.000, 0.500, 0.000)
Ag (0.000, 0.000, 0.500)
Ag (0.500, 0.000, 0.000)

Rb2AgP2 after structural relaxation. Source: Alexandria via LeMat-Bulk, functional PBE.

## Properties
Energy relative to the lowest polymorph listed for this composition: 1.03 eV per formula unit
Energy: -0.111 Ha/atom
Space-group type: I4/mmm

Cell: 3.567 3.567 11.289 Å, 80.91 80.91 90.00°
Positions (direct):
P (0.750, 0.250, 0.500)
P (0.250, 0.750, 0.500)
Rb (0.383, 0.383, 0.234)
Rb (0.617, 0.617, 0.766)
Ag (0.000, 0.000, 0.000)

RbAg2P after structural relaxation. Source: Alexandria via LeMat-Bulk, functional PBE.

## Properties
Energy: -0.117 Ha/atom
Space-group type: I4_1/amd

Cell: 5.865 5.865 8.648 Å, 70.18 70.18 90.00°
Positions (direct):
P (0.500, 0.500, 0.000)
P (0.250, 0.750, 0.500)
Rb (0.000, 0.000, 0.000)
Rb (0.750, 0.250, 0.500)
Ag (0.376, 0.125, 0.250)
Ag (0.374, 0.625, 0.250)
Ag (0.375, 0.624, 0.750)
Ag (0.875, 0.626, 0.750)

RbAg2P after structural relaxation. Source: Alexandria via LeMat-Bulk, functional PBE.

## Properties
Energy: -0.112 Ha/atom
Space-group type: R-3m

Cell: 4.593 4.593 6.636 Å, 69.75 69.75 60.00°
Positions (direct):
P (0.000, 0.000, 0.000)
Rb (0.500, 0.500, 0.500)
Ag (0.311, 0.311, 0.066)
Ag (0.689, 0.689, 0.934)

Looking at formation energy from the elements for the records above, in order, we have -0.09, 0.10, -0.16, 0.06, 1.66, 0.11, -0.15, -0.02 eV per atom.